Record 1
Crystalline Ac2HgPd at its relaxed geometry, computed with PBE.

Results
* excess energy over the best structure of this formula in the dataset: 0.13 eV/f.u.
* formation energy: -579 meV/atom
* mass density: 9178 kg/m3

Cell and atoms, written as POSCAR:
```
Ac2HgPd
1.0
4.4418 0.0000 0.0000
-2.2209 3.8467 0.0000
0.0000 0.0000 24.1758
Ac Hg Pd
6 3 3
direct
0.0000 0.0000 0.0000 Ac
0.0000 0.0000 0.1920 Ac
0.3333 0.6667 0.6667 Ac
0.3333 0.6667 0.8587 Ac
0.6667 0.3333 0.3333 Ac
0.6667 0.3333 0.5254 Ac
0.0000 0.0000 0.4286 Hg
0.3333 0.6667 0.0953 Hg
0.6667 0.3333 0.7619 Hg
0.0000 0.0000 0.5953 Pd
0.3333 0.6667 0.2620 Pd
0.6667 0.3333 0.9286 Pd
```



Record 2
Crystalline Ac3Hg3Pd8 at its relaxed geometry, computed with PBE.

Results
* formation energy: -568 meV/atom
* mass density: 11373 kg/m3

Cell and atoms, written as POSCAR:
```
Ac3Hg3Pd8
1.0
-2.2907 4.8349 7.0337
2.2907 -4.8349 7.0337
2.2907 4.8349 -7.0337
Ac Hg Pd
3 3 8
direct
0.0000 0.0000 0.0000 Ac
0.2977 0.2977 0.0000 Ac
0.7023 0.7023 0.0000 Ac
0.2646 0.5000 0.7646 Hg
0.5000 0.0000 0.5000 Hg
0.7354 0.5000 0.2354 Hg
0.0389 0.6844 0.3545 Pd
0.1546 0.8778 0.2768 Pd
0.3300 0.6844 0.6455 Pd
0.3989 0.1222 0.2768 Pd
0.6011 0.8778 0.7232 Pd
0.6700 0.3156 0.3545 Pd
0.8454 0.1222 0.7232 Pd
0.9611 0.3156 0.6455 Pd
```



Record 3
Crystalline Ac2HgPd at its relaxed geometry, computed with PBE.

Results
* excess energy over the best structure of this formula in the dataset: 0.00 eV/f.u.
* formation energy: -613 meV/atom
* mass density: 9854 kg/m3

Cell and atoms, written as POSCAR:
```
Ac2HgPd
1.0
4.1420 0.0000 0.0000
0.0000 15.2839 0.0000
0.0000 0.0000 8.1031
Ac Hg Pd
8 4 4
direct
0.0000 0.1330 0.0005 Ac
0.0000 0.1330 0.4995 Ac
0.0000 0.8670 0.5005 Ac
0.0000 0.8670 0.9995 Ac
0.5000 0.3670 0.5005 Ac
0.5000 0.3670 0.9995 Ac
0.5000 0.6330 0.0005 Ac
0.5000 0.6330 0.4995 Ac
0.0000 0.4991 0.2500 Hg
0.0000 0.5009 0.7500 Hg
0.5000 0.0009 0.7500 Hg
0.5000 0.9991 0.2500 Hg
0.0000 0.2920 0.2500 Pd
0.0000 0.7080 0.7500 Pd
0.5000 0.2080 0.7500 Pd
0.5000 0.7920 0.2500 Pd
```



Record 4
Crystalline Ac4Hg2Pd at its relaxed geometry, computed with PBE.

Results
* excess energy over the best structure of this formula in the dataset: 0.00 eV/f.u.
* formation energy: -407 meV/atom
* mass density: 9134 kg/m3

Cell and atoms, written as POSCAR:
```
Ac4Hg2Pd
1.0
17.9906 0.0000 0.0000
0.0000 4.2350 0.0000
-2.8218 0.0000 6.7558
Ac Hg Pd
8 4 2
direct
0.0967 0.0000 0.4391 Ac
0.1172 0.5000 0.9550 Ac
0.3828 0.0000 0.0449 Ac
0.4033 0.5000 0.5609 Ac
0.5967 0.5000 0.4391 Ac
0.6172 0.0000 0.9550 Ac
0.8828 0.5000 0.0449 Ac
0.9033 0.0000 0.5609 Ac
0.2454 0.5000 0.7016 Hg
0.2546 0.0000 0.2984 Hg
0.7454 0.0000 0.7016 Hg
0.7546 0.5000 0.2984 Hg
0.0000 0.0000 0.0000 Pd
0.5000 0.5000 0.0000 Pd
```



Record 5
Crystalline Ac12Hg6Pd at its relaxed geometry, computed with PBE.

Results
* formation energy: -266 meV/atom
* mass density: 9191 kg/m3

Cell and atoms, written as POSCAR:
```
Ac12Hg6Pd
1.0
6.5610 3.7880 4.8876
-6.5610 3.7880 4.8876
0.0000 -7.5760 4.8876
Ac Hg Pd
12 6 1
direct
0.0452 0.6960 0.9250 Ac
0.0750 0.9548 0.3040 Ac
0.1831 0.5450 0.4111 Ac
0.3040 0.0750 0.9548 Ac
0.4111 0.1831 0.5450 Ac
0.4550 0.5889 0.8169 Ac
0.5450 0.4111 0.1831 Ac
0.5889 0.8169 0.4550 Ac
0.6960 0.9250 0.0452 Ac
0.8169 0.4550 0.5889 Ac
0.9250 0.0452 0.6960 Ac
0.9548 0.3040 0.0750 Ac
0.1484 0.3571 0.7626 Hg
0.2374 0.8516 0.6429 Hg
0.3571 0.7626 0.1484 Hg
0.6429 0.2374 0.8516 Hg
0.7626 0.1484 0.3571 Hg
0.8516 0.6429 0.2374 Hg
0.5000 0.5000 0.5000 Pd
```



Record 6
Crystalline Ac6HgPd3 at its relaxed geometry, computed with PBE.

Results
* formation energy: -534 meV/atom
* mass density: 8756 kg/m3

Cell and atoms, written as POSCAR:
```
Ac6HgPd3
1.0
13.0658 0.0000 0.0000
0.0000 4.4088 0.0000
-4.5430 0.0000 12.3909
Ac Hg Pd
12 2 6
direct
0.0375 0.2500 0.3712 Ac
0.1125 0.7500 0.9713 Ac
0.2415 0.2500 0.7880 Ac
0.2551 0.7500 0.2931 Ac
0.4025 0.2500 0.5737 Ac
0.4507 0.2500 0.1182 Ac
0.5493 0.7500 0.8818 Ac
0.5975 0.7500 0.4263 Ac
0.7449 0.2500 0.7069 Ac
0.7585 0.7500 0.2120 Ac
0.8875 0.2500 0.0287 Ac
0.9625 0.7500 0.6288 Ac
0.1994 0.7500 0.5639 Hg
0.8006 0.2500 0.4361 Hg
0.0043 0.2500 0.8136 Pd
0.3413 0.7500 0.9557 Pd
0.4230 0.2500 0.3466 Pd
0.5770 0.7500 0.6534 Pd
0.6587 0.2500 0.0443 Pd
0.9957 0.7500 0.1864 Pd
```



Record 7
Crystalline Ac2HgPd9 at its relaxed geometry, computed with PBE.

Results
* excess energy over the best structure of this formula in the dataset: 0.72 eV/f.u.
* formation energy: -444 meV/atom
* mass density: 11214 kg/m3

Cell and atoms, written as POSCAR:
```
Ac2HgPd9
1.0
2.7521 1.5889 9.0999
-2.7521 1.5889 9.0999
0.0000 -3.1778 9.0999
Ac Hg Pd
2 1 9
direct
0.1328 0.1328 0.1328 Ac
0.8672 0.8672 0.8672 Ac
0.0000 0.0000 0.0000 Hg
0.0808 0.5845 0.5845 Pd
0.3329 0.3329 0.3329 Pd
0.4155 0.4155 0.9192 Pd
0.4155 0.9192 0.4155 Pd
0.5000 0.5000 0.5000 Pd
0.5845 0.0808 0.5845 Pd
0.5845 0.5845 0.0808 Pd
0.6671 0.6671 0.6671 Pd
0.9192 0.4155 0.4155 Pd
```



Record 8
Crystalline Ac4HgPd at its relaxed geometry, computed with PBE.

Results
* excess energy over the best structure of this formula in the dataset: 0.00 eV/f.u.
* formation energy: -392 meV/atom
* mass density: 9065 kg/m3

Cell and atoms, written as POSCAR:
```
Ac4HgPd
1.0
6.8924 0.0000 0.0000
0.0000 7.7031 0.0000
-2.8543 0.0000 8.3841
Ac Hg Pd
8 2 2
direct
0.0074 0.0013 0.2311 Ac
0.0074 0.4987 0.2311 Ac
0.4267 0.2500 0.6254 Ac
0.4382 0.2500 0.0921 Ac
0.5618 0.7500 0.9079 Ac
0.5733 0.7500 0.3746 Ac
0.9926 0.5013 0.7689 Ac
0.9926 0.9987 0.7689 Ac
0.2114 0.7500 0.5524 Hg
0.7886 0.2500 0.4476 Hg
0.2130 0.7500 0.0532 Pd
0.7870 0.2500 0.9468 Pd
```



Record 9
Crystalline AcHg4Pd2 at its relaxed geometry, computed with PBE.

Results
* excess energy over the best structure of this formula in the dataset: 0.00 eV/f.u.
* formation energy: -371 meV/atom
* mass density: 12544 kg/m3

Cell and atoms, written as POSCAR:
```
AcHg4Pd2
1.0
8.7327 0.0000 0.0000
0.0000 8.7327 0.0000
0.0000 0.0000 4.3126
Ac Hg Pd
2 8 4
direct
0.0000 0.0000 0.0000 Ac
0.5000 0.5000 0.5000 Ac
0.0933 0.3359 0.5000 Hg
0.1641 0.5933 0.0000 Hg
0.3359 0.0933 0.5000 Hg
0.4067 0.8359 0.0000 Hg
0.5933 0.1641 0.0000 Hg
0.6641 0.9067 0.5000 Hg
0.8359 0.4067 0.0000 Hg
0.9067 0.6641 0.5000 Hg
0.1908 0.8092 0.5000 Pd
0.3092 0.3092 0.0000 Pd
0.6908 0.6908 0.0000 Pd
0.8092 0.1908 0.5000 Pd
```



Record 10
Crystalline Ac2HgPd at its relaxed geometry, computed with PBE.

Results
* excess energy over the best structure of this formula in the dataset: 2.49 eV/f.u.
* formation energy: 9 meV/atom
* mass density: 9280 kg/m3

Cell and atoms, written as POSCAR:
```
Ac2HgPd
1.0
3.8024 0.0000 0.0000
-1.9012 3.2930 0.0000
0.0000 0.0000 32.6264
Ac Hg Pd
6 3 3
direct
0.0000 0.0000 0.0855 Ac
0.0000 0.0000 0.9145 Ac
0.3333 0.6667 0.5811 Ac
0.3333 0.6667 0.7522 Ac
0.6667 0.3333 0.2478 Ac
0.6667 0.3333 0.4189 Ac
0.0000 0.0000 0.5000 Hg
0.3333 0.6667 0.1667 Hg
0.6667 0.3333 0.8333 Hg
0.0000 0.0000 0.0000 Pd
0.3333 0.6667 0.6667 Pd
0.6667 0.3333 0.3333 Pd
```



Record 11
Crystalline Ac2Hg5Pd5 at its relaxed geometry, computed with PBE.

Results
* excess energy over the best structure of this formula in the dataset: 0.00 eV/f.u.
* formation energy: -449 meV/atom
* mass density: 12196 kg/m3

Cell and atoms, written as POSCAR:
```
Ac2Hg5Pd5
1.0
4.6366 0.0000 0.0000
0.0000 5.8384 0.0000
0.0000 0.0000 10.0040
Ac Hg Pd
2 5 5
direct
0.0000 0.0000 0.0000 Ac
0.0000 0.5000 0.5000 Ac
0.5000 0.0000 0.5000 Hg
0.5000 0.2510 0.2403 Hg
0.5000 0.2510 0.7597 Hg
0.5000 0.7490 0.2403 Hg
0.5000 0.7490 0.7597 Hg
0.0000 0.0000 0.3351 Pd
0.0000 0.0000 0.6649 Pd
0.0000 0.5000 0.1603 Pd
0.0000 0.5000 0.8397 Pd
0.5000 0.5000 0.0000 Pd
```



Record 12
Crystalline AcHgPd2 at its relaxed geometry, computed with PBE.

Results
* formation energy: -474 meV/atom
* mass density: 11561 kg/m3

Cell and atoms, written as POSCAR:
```
AcHgPd2
1.0
4.7388 0.0000 0.0000
0.0000 4.7388 0.0000
0.0000 0.0000 4.0961
Ac Hg Pd
1 1 2
direct
0.0000 0.0000 0.0000 Ac
0.5000 0.5000 0.0000 Hg
0.0000 0.5000 0.5000 Pd
0.5000 0.0000 0.5000 Pd
```



Record 13
Crystalline Ac2HgPd at its relaxed geometry, computed with PBE.

Results
* excess energy over the best structure of this formula in the dataset: 0.23 eV/f.u.
* formation energy: -556 meV/atom
* mass density: 10408 kg/m3

Cell and atoms, written as POSCAR:
```
Ac2HgPd
1.0
7.8605 0.0000 0.0000
0.0000 7.8605 0.0000
0.0000 0.0000 7.8605
Ac Hg Pd
8 4 4
direct
0.2500 0.2500 0.2500 Ac
0.2500 0.2500 0.7500 Ac
0.2500 0.7500 0.2500 Ac
0.2500 0.7500 0.7500 Ac
0.7500 0.2500 0.2500 Ac
0.7500 0.2500 0.7500 Ac
0.7500 0.7500 0.2500 Ac
0.7500 0.7500 0.7500 Ac
0.0000 0.0000 0.0000 Hg
0.0000 0.5000 0.5000 Hg
0.5000 0.0000 0.5000 Hg
0.5000 0.5000 0.0000 Hg
0.0000 0.0000 0.5000 Pd
0.0000 0.5000 0.0000 Pd
0.5000 0.0000 0.0000 Pd
0.5000 0.5000 0.5000 Pd
```



Record 14
Crystalline Ac2Hg5Pd5 at its relaxed geometry, computed with PBE.

Results
* excess energy over the best structure of this formula in the dataset: 0.30 eV/f.u.
* formation energy: -425 meV/atom
* mass density: 12229 kg/m3

Cell and atoms, written as POSCAR:
```
Ac2Hg5Pd5
1.0
4.6014 0.0000 0.0000
0.0000 5.8014 0.0000
0.0000 0.0000 10.1176
Ac Hg Pd
2 5 5
direct
0.0000 0.0000 0.0000 Ac
0.0000 0.5000 0.5000 Ac
0.0000 0.0000 0.3226 Hg
0.0000 0.0000 0.6774 Hg
0.0000 0.5000 0.1661 Hg
0.0000 0.5000 0.8339 Hg
0.5000 0.0000 0.5000 Hg
0.5000 0.2528 0.2482 Pd
0.5000 0.2528 0.7518 Pd
0.5000 0.5000 0.0000 Pd
0.5000 0.7472 0.2482 Pd
0.5000 0.7472 0.7518 Pd
```



Record 15
Crystalline Ac3HgPd8 at its relaxed geometry, computed with PBE.

Results
* formation energy: -721 meV/atom
* mass density: 11443 kg/m3

Cell and atoms, written as POSCAR:
```
Ac3HgPd8
1.0
2.8108 1.6228 9.1881
-2.8108 1.6228 9.1881
0.0000 -3.2457 9.1881
Ac Hg Pd
3 1 8
direct
0.0000 0.0000 0.0000 Ac
0.1303 0.1303 0.1303 Ac
0.6099 0.6099 0.6099 Ac
0.4878 0.4878 0.4878 Hg
0.0574 0.5598 0.5598 Pd
0.0584 0.0584 0.5646 Pd
0.0584 0.5646 0.0584 Pd
0.3096 0.3096 0.3096 Pd
0.5598 0.0574 0.5598 Pd
0.5598 0.5598 0.0574 Pd
0.5646 0.0584 0.0584 Pd
0.8098 0.8098 0.8098 Pd
```



Record 16
Crystalline Ac12HgPd6 at its relaxed geometry, computed with PBE.

Results
* formation energy: -544 meV/atom
* mass density: 9094 kg/m3

Cell and atoms, written as POSCAR:
```
Ac12HgPd6
1.0
-5.4586 5.4586 5.4586
5.4586 -5.4586 5.4586
5.4586 5.4586 -5.4586
Ac Hg Pd
12 1 6
direct
0.1230 0.8181 0.3048 Ac
0.1819 0.3048 0.4867 Ac
0.1819 0.6952 0.8770 Ac
0.3048 0.1230 0.8181 Ac
0.3048 0.4867 0.1819 Ac
0.4867 0.1819 0.3048 Ac
0.5133 0.8181 0.6952 Ac
0.6952 0.5133 0.8181 Ac
0.6952 0.8770 0.1819 Ac
0.8181 0.3048 0.1230 Ac
0.8181 0.6952 0.5133 Ac
0.8770 0.1819 0.6952 Ac
0.0000 0.0000 0.0000 Hg
0.1300 0.6300 0.5000 Pd
0.3700 0.5000 0.8700 Pd
0.5000 0.1300 0.6300 Pd
0.5000 0.8700 0.3700 Pd
0.6300 0.5000 0.1300 Pd
0.8700 0.3700 0.5000 Pd
```



Record 17
Crystalline Ac2Hg2Pd3 at its relaxed geometry, computed with PBE.

Results
* excess energy over the best structure of this formula in the dataset: 0.00 eV/f.u.
* formation energy: -671 meV/atom
* mass density: 11407 kg/m3

Cell and atoms, written as POSCAR:
```
Ac2Hg2Pd3
1.0
10.7221 0.0000 0.0000
0.0000 4.3767 0.0000
-2.2145 0.0000 7.2861
Ac Hg Pd
4 4 6
direct
0.1243 0.0000 0.2909 Ac
0.3757 0.5000 0.7091 Ac
0.6243 0.5000 0.2909 Ac
0.8757 0.0000 0.7091 Ac
0.1278 0.5000 0.9301 Hg
0.3722 0.0000 0.0699 Hg
0.6278 0.0000 0.9301 Hg
0.8722 0.5000 0.0699 Hg
0.0000 0.5000 0.5000 Pd
0.1638 0.0000 0.7070 Pd
0.3362 0.5000 0.2930 Pd
0.5000 0.0000 0.5000 Pd
0.6638 0.5000 0.7070 Pd
0.8362 0.0000 0.2930 Pd
```



Record 18
Crystalline Ac2HgPd9 at its relaxed geometry, computed with PBE.

Results
* excess energy over the best structure of this formula in the dataset: 0.00 eV/f.u.
* formation energy: -505 meV/atom
* mass density: 11751 kg/m3

Cell and atoms, written as POSCAR:
```
Ac2HgPd9
1.0
4.2940 0.0000 0.0000
0.0000 4.2940 0.0000
0.0000 0.0000 12.3574
Ac Hg Pd
2 1 9
direct
0.0000 0.0000 0.1768 Ac
0.0000 0.0000 0.8232 Ac
0.0000 0.0000 0.5000 Hg
0.0000 0.5000 0.0000 Pd
0.0000 0.5000 0.3478 Pd
0.0000 0.5000 0.6522 Pd
0.5000 0.0000 0.0000 Pd
0.5000 0.0000 0.3478 Pd
0.5000 0.0000 0.6522 Pd
0.5000 0.5000 0.1728 Pd
0.5000 0.5000 0.5000 Pd
0.5000 0.5000 0.8272 Pd
```



Record 19
Crystalline Ac3Hg2Pd7 at its relaxed geometry, computed with PBE.

Results
* excess energy over the best structure of this formula in the dataset: 0.00 eV/f.u.
* formation energy: -655 meV/atom
* mass density: 11664 kg/m3

Cell and atoms, written as POSCAR:
```
Ac3Hg2Pd7
1.0
2.8658 1.6546 9.1432
-2.8658 1.6546 9.1432
0.0000 -3.3092 9.1432
Ac Hg Pd
3 2 7
direct
0.0000 0.0000 0.0000 Ac
0.1391 0.1391 0.1391 Ac
0.8609 0.8609 0.8609 Ac
0.3330 0.3330 0.3330 Hg
0.6670 0.6670 0.6670 Hg
0.0838 0.5858 0.5858 Pd
0.4142 0.4142 0.9162 Pd
0.4142 0.9162 0.4142 Pd
0.5000 0.5000 0.5000 Pd
0.5858 0.0838 0.5858 Pd
0.5858 0.5858 0.0838 Pd
0.9162 0.4142 0.4142 Pd
```



Record 20
Crystalline Ac2Hg2Pd3 at its relaxed geometry, computed with PBE.

Results
* excess energy over the best structure of this formula in the dataset: 0.09 eV/f.u.
* formation energy: -658 meV/atom
* mass density: 11109 kg/m3

Cell and atoms, written as POSCAR:
```
Ac2Hg2Pd3
1.0
2.1281 -9.8951 0.0000
2.1281 9.8951 0.0000
0.0000 0.0000 8.3366
Ac Hg Pd
4 4 6
direct
0.0592 0.9408 0.7500 Ac
0.1522 0.8478 0.2500 Ac
0.8478 0.1522 0.7500 Ac
0.9408 0.0592 0.2500 Ac
0.3133 0.6867 0.0548 Hg
0.3133 0.6867 0.4452 Hg
0.6867 0.3133 0.5548 Hg
0.6867 0.3133 0.9452 Hg
0.2299 0.7701 0.7500 Pd
0.4430 0.5570 0.5830 Pd
0.4430 0.5570 0.9170 Pd
0.5570 0.4430 0.0830 Pd
0.5570 0.4430 0.4170 Pd
0.7701 0.2299 0.2500 Pd
```



Record 21
Crystalline Ac3HgPd4 at its relaxed geometry, computed with PBE.

Results
* formation energy: -698 meV/atom
* mass density: 9736 kg/m3

Cell and atoms, written as POSCAR:
```
Ac3HgPd4
1.0
4.2471 0.0000 0.0000
0.0000 6.7631 0.0000
0.0000 0.0000 15.5245
Ac Hg Pd
6 2 8
direct
0.0000 0.0000 0.0000 Ac
0.0000 0.5000 0.1886 Ac
0.0000 0.5000 0.8114 Ac
0.5000 0.0000 0.3114 Ac
0.5000 0.0000 0.6886 Ac
0.5000 0.5000 0.5000 Ac
0.0000 0.0000 0.5000 Hg
0.5000 0.5000 0.0000 Hg
0.0000 0.2989 0.3748 Pd
0.0000 0.2989 0.6252 Pd
0.0000 0.7011 0.3748 Pd
0.0000 0.7011 0.6252 Pd
0.5000 0.2011 0.1252 Pd
0.5000 0.2011 0.8748 Pd
0.5000 0.7989 0.1252 Pd
0.5000 0.7989 0.8748 Pd
```